# TaVPbO6 | the Alexandria database | PBE with a Hubbard U | optimized geometry
data_TaVPbO6
_cell_length_a 5.218
_cell_length_b 5.218
_cell_length_c 5.394
_cell_angle_alpha 90.00
_cell_angle_beta 90.00
_cell_angle_gamma 60.00
_space_group_name_H-M_alt 'P 1'
_space_group_IT_number 1
loop_
_space_group_symop_operation_xyz
'x,y,z'
loop_
_atom_site_label
_atom_site_fract_x
_atom_site_fract_y
_atom_site_fract_z
Ta1 0.333 0.333 0.500
V1 0.667 0.667 0.500
Pb1 0.000 0.000 0.000
O1 0.987 0.391 0.298
O2 0.391 0.987 0.702
O3 0.622 0.391 0.702
O4 0.987 0.622 0.702
O5 0.391 0.622 0.298
O6 0.622 0.987 0.298
# magnetization	0.000	μB per cell
# raw total energy	-7.969	eV/atom